Below is a geometry-optimized CaZr2TaO8 structure, with properties calculated at the PBE level.

Values from the calculation:
DOS(E_F) = 12.17 states/eV per cell
formation energy without anion corrections = -2.94 eV per atom
calculated total energy = -211.710 eV for the cell shown

Cell and atoms, written as CIF:
```
data_CaZr2TaO8
_space_group_name_H-M_alt 'C m m m'
_space_group_IT_number 65
_space_group_name_Hall '-C 2 2'
_cell_length_a 6.922
_cell_length_b 7.068
_cell_length_c 6.680
_cell_angle_alpha 90.00
_cell_angle_beta 90.00
_cell_angle_gamma 90.00
loop_
_atom_site_label
_atom_site_type_symbol
_atom_site_fract_x
_atom_site_fract_y
_atom_site_fract_z
Ca1 Ca 0.000 0.000 0.000
Zr1 Zr 0.000 0.500 0.242
Ta1 Ta 0.000 0.000 0.500
O1 O 0.000 0.291 0.500
O2 O 0.000 0.319 0.000
O3 O 0.200 0.000 0.287
```